Entry from the Alexandria database: crystalline Ac2TlTe at its relaxed geometry (PBE).

## Properties
Energy relative to the elements, uncorrected: -3.7 eV per formula unit
V: 37.43 Å³ per atom
ρ: 8.72 Mg/m³
Energy relative to the lowest polymorph listed for this composition: 0.00 kcal/mol of atoms
M_tot: 0.00 μB/f.u.
Space group: Cmcm, No. 63

Structure (POSCAR):
```
Ac2TlTe
1.0
-0.283 -4.688 -0.320
1.002 -0.385 4.754
-13.253 0.776 0.358
Ac Tl Te
4 2 2
Cartesian
-4.273 -3.500 3.115
-8.261 -0.797 1.676
-10.801 -3.201 4.515
-1.733 -1.096 0.276
-11.726 -0.638 2.419
-0.808 -3.658 2.372
-4.992 -0.947 0.975
-7.542 -3.350 3.816
```

***

Entry from the Alexandria database: crystalline Ac2TlTe at its relaxed geometry (PBE).

## Properties
Energy relative to the elements, uncorrected: -3.3 eV per formula unit
V: 34.74 Å³ per atom
ρ: 9.39 Mg/m³
Energy relative to the lowest polymorph listed for this composition: 2.40 kcal/mol of atoms
M_tot: 0.00 μB/f.u.
Space group: P4/mmm, No. 123

Structure (POSCAR):
```
Ac2TlTe
1.0
3.986 0.000 0.000
0.000 3.986 0.000
0.000 0.000 8.748
Ac Te Tl
2 1 1
Cartesian
0.000 0.000 6.597
0.000 0.000 2.151
1.993 1.993 0.000
1.993 1.993 4.374
```

***

Entry from the Alexandria database: crystalline AcTl12Te7 at its relaxed geometry (PBE).

## Properties
Energy relative to the elements, uncorrected: -7.6 eV per formula unit
V: 40.29 Å³ per atom
ρ: 7.36 Mg/m³
M_tot: 0.00 μB/f.u.
Space group: R-3, No. 148

Structure (POSCAR):
```
AcTl12Te7
1.0
11.375 0.000 -2.341
-4.694 7.752 -3.603
-1.987 0.000 9.547
Ac Tl Te
1 12 7
Cartesian
0.000 0.000 0.000
0.928 4.122 -0.362
7.689 1.916 3.826
0.929 5.226 5.047
-0.290 7.056 -1.941
-0.259 2.206 3.612
-3.159 5.921 3.320
7.853 1.831 0.283
4.953 5.546 -0.009
4.983 0.695 5.545
3.765 2.526 -1.444
-2.995 5.836 -0.223
3.766 3.630 3.965
-4.608 5.143 6.041
5.218 6.891 -3.075
2.320 6.004 2.047
5.687 0.000 -1.171
2.374 1.748 1.556
-0.524 0.860 6.678
9.301 2.609 -2.438
```